(1)
Entry from Alexandria: crystalline TlPAu2 at its relaxed geometry (GGA-PBE).

total moment: 0.00 μB per formula unit
space group: No. 12
final energy: -3.44 eV per atom
V: 22.10 Å³/atom

Lattice parameters (Å, degrees): 4.0436 4.0436 6.6493 108.31 108.31 60.80
Last column: nearest neighbours and their distance in Å.
Atoms (fractional coordinates):
Tl (0.0000, 0.0000, 0.0000)  6 Au 3.08-3.09
P (0.5000, 0.5000, 0.5000)  6 Au 2.58-2.59
Au (0.2255, 0.2255, 0.6766)  3 P 2.58-2.59
Au (0.7745, 0.7745, 0.3234)  3 P 2.58-2.59


(2)
Entry from Alexandria: crystalline TlPAu2 at its relaxed geometry (GGA-PBE).

total moment: 0.00 μB per formula unit
space group: No. 25
final energy: -3.46 eV per atom
V: 23.28 Å³/atom

Lattice parameters (Å, degrees): 3.4750 3.6076 7.4282 90.00 90.00 90.00
Last column: nearest neighbours and their distance in Å.
Atoms (fractional coordinates):
Tl (0.0000, 0.0000, 0.0000)  5 Au 2.93-3.01
P (0.5000, 0.5000, 0.5438)  5 Au 2.37-2.55
Au (0.0000, 0.0000, 0.6052)  4 P 2.55
Au (0.5000, 0.5000, 0.2244)  1 P 2.37


(3)
Entry from Alexandria: crystalline Tl5PAu6 at its relaxed geometry (GGA-PBE).

total moment: 0.00 μB per formula unit
space group: No. 12
final energy: -3.04 eV per atom
V: 24.14 Å³/atom

Lattice parameters (Å, degrees): 7.3570 7.3570 7.0087 100.95 100.95 123.52
Last column: nearest neighbours and their distance in Å.
Atoms (fractional coordinates):
Tl (0.0000, 0.0000, 0.0000)  6 Au 3.01-3.34
Tl (0.1425, 0.8575, 0.5000)  6 Au 3.00-3.08
Tl (0.2927, 0.7073, 0.0000)  6 Au 2.91-3.07
Tl (0.7073, 0.2927, 0.0000)  6 Au 2.91-3.07
Tl (0.8575, 0.1425, 0.5000)  6 Au 3.00-3.08
P (0.5000, 0.5000, 0.5000)  6 Au 2.51-2.59
Au (0.1499, 0.4548, 0.2928)  1 P 2.51
Au (0.3464, 0.3464, 0.7805)  1 P 2.59
Au (0.4548, 0.1499, 0.2928)  1 P 2.51
Au (0.5452, 0.8501, 0.7072)  1 P 2.51
Au (0.6536, 0.6536, 0.2195)  1 P 2.59
Au (0.8501, 0.5452, 0.7072)  1 P 2.51